A plane-wave DFT calculation with PBE with a Hubbard U was carried out for an optimized crystal structure of PrVHgO5.

The structure in POSCAR format:
```
PrVHgO5
1.0
6.269 0.761 -0.161
-1.102 6.218 -0.161
-2.339 -3.159 7.814
O V Pr Hg
10 2 2 2
direct
0.269 0.777 0.602
0.900 0.100 0.750
0.223 0.731 0.898
0.777 0.269 0.102
0.731 0.223 0.398
0.291 0.342 0.643
0.658 0.709 0.857
0.709 0.658 0.357
0.342 0.291 0.143
0.100 0.900 0.250
0.645 0.355 0.250
0.355 0.645 0.750
0.000 0.000 0.000
0.000 0.000 0.500
0.322 0.678 0.250
0.678 0.322 0.750
```

## Properties
Symmetry = C2/c
Total energy = -6.63 eV per atom
Fermi-level density of states = 0.000 states/eV per cell